(1)
Here is a crystal of MgZr2Sc relaxed with PBEsol from Alexandria via LeMat-Bulk. Energies are from meta-GGA SCAN.

Calculated values
**Calculated density**: 4.7 g/cm³
**Energy**: -20.08 eV/atom

Lattice parameters (Å, degrees): 10.8572 3.0797 5.3817 90.00 99.00 90.00
Closest atoms and distances in Å follow each position.
Space group C2/m (No. 12)
Unique sites:
Mg 0.0000 0.0000 0.0000 (multiplicity 2)  2 Mg 3.08, 4 Sc 3.10, 6 Zr 3.17-3.29
Zr 0.2432 0.5000 0.2530 (multiplicity 4)  6 Zr 3.06-3.15, 3 Sc 3.14-3.28, 3 Mg 3.17-3.29
Sc 0.0000 0.5000 0.5000 (multiplicity 2)  2 Sc 3.08, 4 Mg 3.10, 6 Zr 3.14-3.28

(2)
Here is a crystal of MgZr2Sc relaxed with PBEsol from Alexandria via LeMat-Bulk. Energies are from meta-GGA SCAN.

Calculated values
**Calculated density**: 4.8 g/cm³
**Energy**: -20.09 eV/atom

Lattice parameters (Å, degrees): 4.4266 4.4266 8.9279 90.00 90.00 90.00
Closest atoms and distances in Å follow each position.
Space group I-4m2 (No. 119)
Unique sites:
Mg 0.0000 0.0000 0.0000 (multiplicity 2)  8 Zr 3.13-3.14, 4 Sc 3.14
Zr 0.0000 0.0000 0.5000 (multiplicity 2)  4 Mg 3.13, 4 Zr 3.14, 4 Sc 3.14
Zr 0.0000 0.5000 0.7500 (multiplicity 2)  4 Sc 3.13, 4 Zr 3.14, 4 Mg 3.14
Sc 0.0000 0.5000 0.2500 (multiplicity 2)  8 Zr 3.13-3.14, 4 Mg 3.14

(3)
Here is a crystal of MgZr2Sc relaxed with PBEsol from Alexandria via LeMat-Bulk. Energies are from meta-GGA SCAN.

Calculated values
**Calculated density**: 4.7 g/cm³
**Energy**: -20.03 eV/atom

Lattice parameters (Å, degrees): 6.0869 10.7950 2.9711 90.00 114.77 90.00
Closest atoms and distances in Å follow each position.
Space group C2/m (No. 12)
Unique sites:
Mg 0.0000 0.0000 0.0000 (multiplicity 2)  2 Mg 2.97, 4 Sc 3.04-3.24, 4 Zr 3.15
Zr 0.2500 0.2500 0.5000 (multiplicity 4)  6 Zr 2.97-3.24, 2 Mg 3.15, 2 Sc 3.15
Sc 0.0000 0.5000 0.0000 (multiplicity 2)  2 Sc 2.97, 4 Mg 3.04-3.24, 4 Zr 3.15

(4)
Here is a crystal of MgZr2Sc relaxed with PBEsol from Alexandria via LeMat-Bulk. Energies are from meta-GGA SCAN.

Calculated values
**Calculated density**: 4.7 g/cm³
**Energy**: -20.15 eV/atom

Lattice parameters (Å, degrees): 3.1439 3.1439 9.0768 90.00 90.00 90.00
Closest atoms and distances in Å follow each position.
Space group P4mm (No. 99)
Unique sites:
Mg 0.0000 0.0000 0.0000 (multiplicity 1)  4 Mg 3.14, 4 Zr 3.20, 4 Sc 3.23
Zr 0.0000 0.0000 0.5004 (multiplicity 1)  4 Sc 3.13, 8 Zr 3.14-3.15
Zr 0.5000 0.5000 0.7458 (multiplicity 1)  8 Zr 3.14-3.15, 4 Mg 3.20
Sc 0.5000 0.5000 0.2577 (multiplicity 1)  4 Zr 3.13, 4 Sc 3.14, 4 Mg 3.23

(5)
Here is a crystal of MgZr2Sc relaxed with PBEsol from Alexandria via LeMat-Bulk. Energies are from meta-GGA SCAN.

Calculated values
**Calculated density**: 4.7 g/cm³
**Energy**: -20.12 eV/atom

Lattice parameters (Å, degrees): 3.1965 4.3241 6.4886 90.00 90.00 90.00
Closest atoms and distances in Å follow each position.
Space group Pmm2 (No. 25)
Unique sites:
Mg 0.0000 0.0000 0.0000 (multiplicity 1)  4 Sc 3.17, 6 Zr 3.18-3.31, 2 Mg 3.20
Zr 0.0000 0.0000 0.5103 (multiplicity 1)  6 Zr 3.06-3.20, 4 Sc 3.15, 2 Mg 3.18-3.31
Zr 0.5000 0.5000 0.7355 (multiplicity 1)  6 Zr 3.06-3.20, 2 Sc 3.10-3.39, 4 Mg 3.19
Sc 0.5000 0.5000 0.2584 (multiplicity 1)  6 Zr 3.10-3.39, 4 Mg 3.17, 2 Sc 3.20

(6)
Here is a crystal of MgSe2 relaxed with PBEsol from Alexandria via LeMat-Bulk. Energies are from meta-GGA SCAN.

Calculated values
**Calculated density**: 5.0 g/cm³
**E_form (uncorrected)**: -0.329 eV per atom

Lattice parameters (Å, degrees): 5.1239 5.1239 5.2989 90.00 90.00 120.00
Closest atoms and distances in Å follow each position.
Space group P6_3/mmc (No. 194)
Unique sites:
Mg 0.3333 0.6667 0.2500 (multiplicity 2)  5 Se 2.65-2.96
Se 0.0000 0.0000 0.0000 (multiplicity 2)  2 Se 2.65
Se 0.3333 0.6667 0.7500 (multiplicity 2)  5 Mg 2.65-2.96

(7)
Here is a crystal of Mg3Se relaxed with PBEsol from Alexandria via LeMat-Bulk. Energies are from meta-GGA SCAN.

Calculated values
**Calculated density**: 2.9 g/cm³
**E_form (uncorrected)**: -0.339 eV per atom

Lattice parameters (Å, degrees): 3.4342 3.4342 7.3217 90.00 90.00 90.00
Closest atoms and distances in Å follow each position.
Space group P4/mmm (No. 123)
Unique sites:
Mg 0.0000 0.0000 0.0000 (multiplicity 1)  12 Mg 3.22-3.43
Mg 0.5000 0.5000 0.2885 (multiplicity 2)  4 Se 2.88, 5 Mg 3.10-3.22
Se 0.0000 0.0000 0.5000 (multiplicity 1)  8 Mg 2.88

(8)
Here is a crystal of Mg2Se relaxed with PBEsol from Alexandria via LeMat-Bulk. Energies are from meta-GGA SCAN.

Calculated values
**Calculated density**: 3.2 g/cm³
**E_form (uncorrected)**: -0.527 eV per atom

Lattice parameters (Å, degrees): 3.8287 15.3092 4.4482 90.00 90.00 90.00
Closest atoms and distances in Å follow each position.
Space group Cmmm (No. 65)
Unique sites:
Mg 0.0000 0.0000 0.0000 (multiplicity 2)  4 Se 2.70, 4 Mg 2.93
Mg 0.0000 0.1697 0.5000 (multiplicity 4)  4 Se 3.01, 4 Mg 3.12-3.23
Mg 0.0000 0.5000 0.5000 (multiplicity 2)  4 Se 2.93, 8 Mg 2.93-3.23
Se 0.0000 0.3753 0.0000 (multiplicity 4)  8 Mg 2.70-3.01

(9)
Here is a crystal of MgSe3 relaxed with PBEsol from Alexandria via LeMat-Bulk. Energies are from meta-GGA SCAN.

Calculated values
**Calculated density**: 5.0 g/cm³
**E_form (uncorrected)**: -0.200 eV per atom

Lattice parameters (Å, degrees): 4.0775 4.0775 18.0484 90.00 90.00 120.00
Closest atoms and distances in Å follow each position.
Space group R-3m (No. 166, hexagonal axes)
Unique sites:
Mg 0.0000 0.0000 0.0000 (multiplicity 3)  6 Se 2.76
Se 0.0000 0.0000 0.2537 (multiplicity 6)  3 Mg 2.76, 3 Se 2.83
Se 0.0000 0.0000 0.5000 (multiplicity 3)  6 Se 2.83

(10)
Here is a crystal of MgSe2 relaxed with PBEsol from Alexandria via LeMat-Bulk. Energies are from meta-GGA SCAN.

Calculated values
**Calculated density**: 4.1 g/cm³
**E_form (uncorrected)**: -0.876 eV per atom

Lattice parameters (Å, degrees): 4.1672 4.1672 9.8055 90.00 90.00 120.00
Closest atoms and distances in Å follow each position.
Space group P6_3/mmc (No. 194)
Unique sites:
Mg 0.0000 0.0000 0.0000 (multiplicity 2)  6 Se 2.71
Se 0.3333 0.6667 0.1279 (multiplicity 4)  1 Se 2.39

(11)
Here is a crystal of MgSe3 relaxed with PBEsol from Alexandria via LeMat-Bulk. Energies are from meta-GGA SCAN.

Calculated values
**Calculated density**: 4.2 g/cm³
**E_form (uncorrected)**: -0.407 eV per atom

Lattice parameters (Å, degrees): 3.6719 3.6719 30.3578 90.00 90.00 90.00
Closest atoms and distances in Å follow each position.
Space group I4/mmm (No. 139)
Unique sites:
Mg 0.0000 0.0000 0.1259 (multiplicity 4)  4 Se 2.60
Se 0.0000 0.0000 0.3749 (multiplicity 4)  4 Mg 2.60
Se 0.0000 0.5000 0.0000 (multiplicity 4)  4 Se 2.60
Se 0.0000 0.5000 0.2500 (multiplicity 4)  4 Se 2.60

(12)
Here is a crystal of MgSe2 relaxed with PBEsol from Alexandria via LeMat-Bulk. Energies are from meta-GGA SCAN.

Calculated values
**Calculated density**: 4.4 g/cm³
**E_form (uncorrected)**: -0.615 eV per atom

Lattice parameters (Å, degrees): 3.6098 20.3049 3.7553 90.00 90.00 90.00
Closest atoms and distances in Å follow each position.
Space group Cmcm (No. 63)
Unique sites:
Mg 0.0000 0.0944 0.2500 (multiplicity 4)  4 Se 2.63
Se 0.0000 0.2637 0.7500 (multiplicity 4)  4 Se 2.66
Se 0.0000 0.4229 0.2500 (multiplicity 4)  4 Mg 2.63

Calculated DOS(E_F) (states/eV per cell), listed in the same order as above: 8.54; 9.69; 10.20; 4.97; 3.77; 3.99; 1.79; 2.38; 10.56; 0.30; 11.99; 4.59